A relaxed structure of PmErGeSe, computed with PBE.

Summary:
ΔE_f (raw) ... -1.378 eV per atom
Total magnetic moment ... 0.000 μB per cell
Density ... 7.5 g cm⁻³

Geometry as POSCAR:
```
PmErGeSe
1.0
-1.377 3.207 2.279
0.915 0.216 4.061
5.552 4.636 0.642
Pm Se Ge Er
1 1 1 1
direct
0.690 0.690 0.930
0.448 0.448 0.657
0.941 0.941 0.177
0.198 0.198 0.407
```

A relaxed structure of PmErSiGe, computed with PBE.

Summary:
ΔE_f (raw) ... -0.478 eV per atom
Total magnetic moment ... 0.000 μB per cell
Distance to the lowest polymorph of the same formula ... 331.3 meV per atom
Density ... 7.4 g cm⁻³

Geometry as POSCAR:
```
PmErSiGe
1.0
-3.928 2.595 1.895
-4.143 -2.466 1.584
-1.059 -0.259 4.957
Er Ge Si Pm
1 1 1 1
direct
0.750 0.750 0.750
0.000 0.000 0.000
0.500 0.500 0.500
0.250 0.250 0.250
```

A relaxed structure of PmErSiGe, computed with PBE.

Summary:
ΔE_f (raw) ... -0.810 eV per atom
Total magnetic moment ... 0.000 μB per cell
Distance to the lowest polymorph of the same formula ... 0.0 meV per atom
Density ... 7.5 g cm⁻³

Geometry as POSCAR:
```
PmErSiGe
1.0
4.340 0.000 0.000
0.000 3.933 0.000
-2.170 0.000 5.371
Ge Si Pm Er
1 1 1 1
direct
0.578 0.500 0.156
0.419 0.000 0.838
0.141 0.000 0.281
0.862 0.500 0.725
```

A relaxed structure of PmErSnGe, computed with PBE.

Summary:
Formation energy from the elements ... -0.53 eV per atom
Total magnetic moment ... 0.000 μB per cell
Density ... 8.1 g cm⁻³

Geometry as POSCAR:
```
PmErSnGe
1.0
5.265 0.000 0.000
2.633 4.560 0.000
2.633 1.520 4.299
Ge Pm Er Sn
1 1 1 1
direct
0.250 0.250 0.250
0.000 0.000 0.000
0.500 0.500 0.500
0.750 0.750 0.750
```

A relaxed structure of Pm2ErZn2Ge2, computed with PBE.

Summary:
Formation energy from the elements ... -0.46 eV per atom
Total magnetic moment ... 0.856 μB per cell
Density ... 7.2 g cm⁻³

Geometry as POSCAR:
```
Pm2ErZn2Ge2
1.0
4.159 0.000 0.000
2.080 3.602 0.000
2.080 1.201 11.282
Ge Pm Zn Er
2 2 2 1
direct
0.723 0.723 0.830
0.277 0.277 0.170
0.879 0.879 0.363
0.121 0.121 0.637
0.605 0.605 0.186
0.395 0.395 0.814
0.000 0.000 0.000
```

A relaxed structure of PmErZnGe, computed with PBE.

Summary:
Formation energy from the elements ... -0.60 eV per atom
Total magnetic moment ... 0.101 μB per cell
Distance to the lowest polymorph of the same formula ... 0.0 meV per atom
Density ... 7.8 g cm⁻³

Geometry as POSCAR:
```
PmErZnGe
1.0
4.218 0.000 0.000
0.000 4.119 0.000
-2.109 0.000 5.537
Pm Er Ge Zn
1 1 1 1
direct
0.144 0.000 0.289
0.862 0.500 0.724
0.423 0.000 0.845
0.571 0.500 0.142
```